Density functional theory data (PBE) for an optimized crystal structure of YP2O2.

```
YP2O2
1.0
-5.3673 0.0436 0.8276
-0.4360 -4.7605 -2.5772
0.5397 -2.0013 3.6053
Y P O
1 2 2
Cartesian
0.0000 0.0000 0.0000
-0.2180 -2.3802 -1.2886
-2.6836 0.0218 0.4138
-2.6318 -3.3591 0.9278
0.2698 -1.0006 1.8027
```

Calculated values
The value obtained for the total DFT energy (no corrections) is -24.0 eV per cell. The calculation puts the energy relative to the elements, uncorrected at 637 meV per atom. The calculation puts the excess energy over the best structure of this formula in the dataset at 1.988 eV/atom.